# 1
{"formula": "MgNbFe2As", "functional": "PBE", "state": "relaxed", "lattice_angstrom": [[4.621, 0.000, 0.000], [0.000, 4.967, 0.000], [0.000, 0.000, 4.621]], "species": ["Mg", "Nb", "As", "Fe", "Fe"], "fractional_positions": [[0.500, 0.500, 0.500], [0.000, 0.000, 0.000], [0.000, 0.500, 0.000], [0.000, 0.000, 0.500], [0.500, 0.000, 0.000]], "formation_energy_mev_per_atom": 919, "final_energy_ev_per_fu": -28.64, "rho_g_cm3": 4.756}



# 2
{"formula": "Pm4Y3Tm2", "functional": "PBE", "state": "relaxed", "lattice_angstrom": [[-3.103, -3.663, -3.636], [3.658, -8.709, 3.929], [-6.306, -3.547, 7.233]], "species": ["Pm", "Pm", "Pm", "Pm", "Pm", "Pm", "Pm", "Pm", "Y", "Y", "Y", "Y", "Y", "Y", "Tm", "Tm", "Tm", "Tm"], "fractional_positions": [[0.547, 0.049, 0.824], [0.953, 0.176, 0.951], [0.453, 0.951, 0.176], [0.047, 0.824, 0.049], [0.614, 0.837, 0.615], [0.886, 0.385, 0.163], [0.386, 0.163, 0.385], [0.114, 0.615, 0.837], [0.080, 0.981, 0.680], [0.420, 0.320, 0.019], [0.920, 0.019, 0.320], [0.580, 0.680, 0.981], [0.250, 0.350, 0.650], [0.750, 0.650, 0.350], [0.203, 0.709, 0.496], [0.297, 0.504, 0.291], [0.797, 0.291, 0.504], [0.703, 0.496, 0.709]], "formation_energy_mev_per_atom": 91, "final_energy_ev_per_fu": -46.52, "rho_g_cm3": 6.705}